Record 1
The following is a DFT calculation (PBE-GGA) of a geometry-optimized Tb2Pr6Er3Tm structure.

abc: 6.2906 6.2906 11.8429
angles: 95.07 95.07 119.99
Fractional coordinates of all 12 atoms:
Tb 0.3333 0.6667 0.0000
Tb 0.6667 0.3333 0.0000
Pr 0.9163 0.5834 0.7494
Pr 0.7508 0.7508 0.2510
Pr 0.0837 0.4166 0.2506
Pr 0.5834 0.9163 0.7494
Pr 0.2492 0.2492 0.7490
Pr 0.4166 0.0837 0.2506
Er 0.1666 0.8334 0.5000
Er 0.8334 0.1666 0.5000
Er 0.5000 0.5000 0.5000
Tm 0.0000 0.0000 0.0000

Calculated values
DOS at the Fermi energy, states/eV/atom: 1.060
ΔE_f, eV/f.u.: 0.2
Space group: C2/m, No. 12
Size of the total moment, μB per atom: 0.000

=====

Record 2
The following is a DFT calculation (PBE-GGA) of a geometry-optimized TbPrEr5Tm2 structure.

abc: 5.5670 10.2453 10.4742
angles: 90.00 90.00 105.76
Fractional coordinates of all 18 atoms:
Tb 0.8003 0.6007 0.5129
Tb 0.1997 0.3993 0.0129
Pr 0.5834 0.1669 0.9491
Pr 0.4166 0.8331 0.4491
Er 0.3883 0.7765 0.0232
Er 0.7194 0.4388 0.8126
Er 0.4777 0.9554 0.7358
Er 0.2986 0.5972 0.7104
Er 0.9828 0.9655 0.5256
Er 0.6117 0.2235 0.5232
Er 0.2806 0.5612 0.3126
Er 0.5223 0.0446 0.2358
Er 0.7014 0.4028 0.2104
Er 0.0172 0.0345 0.0256
Tm 0.8869 0.7737 0.8193
Tm 0.1110 0.2221 0.7350
Tm 0.1131 0.2263 0.3193
Tm 0.8890 0.7779 0.2350

Calculated values
DOS at the Fermi energy, states/eV/atom: 1.611
ΔE_f, eV/f.u.: 1.5
Space group: Cmc2_1, No. 36
Size of the total moment, μB per atom: 0.000

=====

Look up the ΔE_f of the first one. 0.2 eV/f.u.